Th6CuOs2Se3 after structural relaxation. Source: the Alexandria database, functional PBE.

**Density of states at the Fermi level**: 0.762 states/eV per atom
**Uncorrected energy**: -92.78 eV per formula unit
**ΔE_f (raw)**: -0.937 eV per atom
**Space-group type**: C2/m, No. 12

Lattice parameters (Å, degrees): 7.1495 7.1495 7.7332 98.87 98.87 119.97
Fractional coordinates of all 12 atoms:
Th  0.0732  0.4187  0.2196
Th  0.9268  0.5813  0.7804
Cu  0.0000  0.0000  0.0000
Os  0.6670  0.3330  0.0000
Th  0.7276  0.7276  0.2192
Se  0.5000  0.5000  0.5000
Th  0.2724  0.2724  0.7808
Th  0.5813  0.9268  0.7804
Se  0.8356  0.1644  0.5000
Os  0.3330  0.6670  0.0000
Th  0.4187  0.0732  0.2196
Se  0.1644  0.8356  0.5000

La6CeHo2Er after structural relaxation. Source: the Alexandria database, functional PBE.

**Density of states at the Fermi level**: 2.333 states/eV per atom
**Formation energy**: 0.22 eV/atom
**Uncorrected energy**: -46.97 eV per formula unit
**Space-group type**: C2/m, No. 12

Lattice parameters (Å, degrees): 9.0404 6.9777 6.9245 120.25 106.85 90.00
Fractional coordinates of all 10 atoms:
La  0.7999  0.3989  0.2918
Ho  0.8225  0.8986  0.7972
La  0.7999  0.8929  0.2918
Ho  0.1775  0.1014  0.2028
La  0.5797  0.3374  0.6749
Er  0.5000  0.0000  0.0000
La  0.2001  0.6011  0.7082
Ce  0.0000  0.5000  0.0000
La  0.4203  0.6626  0.3251
La  0.2001  0.1071  0.7082

HoTh2Fe after structural relaxation. Source: the Alexandria database, functional PBE.

**Density of states at the Fermi level**: 1.122 states/eV per atom
**Energy above the most stable polymorph in this dataset**: 5.2 meV per atom
**Formation energy**: -0.06 eV/atom
**Uncorrected energy**: -28.11 eV per formula unit
**Space-group type**: Cmcm, No. 63

Lattice parameters (Å, degrees): 3.6893 6.1123 9.7399 90.00 90.00 107.56
Fractional coordinates of all 8 atoms:
Ho  0.0886  0.1765  0.7500
Th  0.3608  0.7217  0.5697
Th  0.3608  0.7217  0.9303
Th  0.6392  0.2783  0.4303
Fe  0.8006  0.6001  0.7500
Fe  0.1994  0.3999  0.2500
Th  0.6392  0.2783  0.0697
Ho  0.9114  0.8235  0.2500

Pm3PrY2Er6 after structural relaxation. Source: the Alexandria database, functional PBE.

**Density of states at the Fermi level**: 1.264 states/eV per atom
**Formation energy**: 0.02 eV/atom
**Uncorrected energy**: -59.11 eV per formula unit
**Space-group type**: C2/m, No. 12

Lattice parameters (Å, degrees): 6.1900 6.1900 11.7899 95.01 95.01 119.97
Fractional coordinates of all 12 atoms:
Pm  0.8331  0.1669  0.5000
Y  0.3332  0.6668  0.0000
Er  0.5831  0.9164  0.7503
Y  0.6668  0.3332  0.0000
Er  0.0836  0.4169  0.2497
Pr  0.0000  0.0000  0.0000
Er  0.7501  0.7501  0.2497
Pm  0.1669  0.8331  0.5000
Er  0.9164  0.5831  0.7503
Er  0.4169  0.0836  0.2497
Er  0.2499  0.2499  0.7503
Pm  0.5000  0.5000  0.5000

GdH2I after structural relaxation. Source: the Alexandria database, functional PBE.

**Density of states at the Fermi level**: 0.513 states/eV per atom
**Uncorrected energy**: -23.34 eV per formula unit
**Space-group type**: R-3m, No. 166

Lattice parameters (Å, degrees): 4.9518 4.9518 4.4190 55.92 55.92 60.00
Fractional coordinates of all 4 atoms:
I  0.5000  0.5000  0.5000
Gd  0.0000  0.0000  0.0000
H  0.7882  0.7882  0.6355
H  0.2118  0.2118  0.3645

Be2NiB after structural relaxation. Source: the Alexandria database, functional PBE.

**Density of states at the Fermi level**: 0.496 states/eV per atom
**Formation energy**: 0.34 eV/atom
**Uncorrected energy**: -18.57 eV per formula unit
**Space-group type**: I-42d, No. 122

Lattice parameters (Å, degrees): 5.9007 5.9007 4.6437 50.55 50.55 90.00
Fractional coordinates of all 8 atoms:
Ni  0.0000  0.0000  0.0000
Be  0.5631  0.1250  0.2500
B  0.2500  0.7500  0.5000
Be  0.1869  0.6250  0.2500
Ni  0.7500  0.2500  0.5000
B  0.5000  0.5000  0.0000
Be  0.8750  0.8131  0.7500
Be  0.3750  0.4369  0.7500

BaCdBr2 after structural relaxation. Source: the Alexandria database, functional PBE.

**Density of states at the Fermi level**: 0.000 states/eV per atom
**Energy above the most stable polymorph in this dataset**: 212.1 meV per atom
**Uncorrected energy**: -11.08 eV per formula unit
**ΔE_f (raw)**: -1.223 eV per atom
**Space-group type**: R3m, No. 160

Lattice parameters (Å, degrees): 8.0830 8.0830 8.0830 37.02 37.02 37.02
Fractional coordinates of all 4 atoms:
Cd  0.5063  0.5063  0.5063
Br  0.2133  0.2133  0.2133
Br  0.0270  0.0270  0.0270
Ba  0.7535  0.7535  0.7535